PBE SrLaP2Pd2, relaxed; SG = P-3m1 (164); energy of formation = -113 kJ/mol of atoms
1.0
4.227 0.000 0.000
-2.113 3.660 0.000
0.000 0.000 8.449
P La Sr Pd
2 1 1 2
Direct
0.333 0.667 0.264
0.667 0.333 0.736
0.000 0.000 0.500
0.000 0.000 0.000
0.333 0.667 0.745
0.667 0.333 0.255